! ThZn3Ag2 | Alexandria via LeMat-Bulk | GGA-PBE | relaxed; values from VASP
! * N(E_F): 2.4 states/eV/f.u.
! * size of the total moment: 0.000 μB per atom
! * formation energy from the elements: -0.141 eV per atom
! * uncorrected energy: -2.97 eV per atom
&SYSTEM
  ibrav = 0, nat = 12, ntyp = 3
/
ATOMIC_SPECIES
Th 232.04 Th.upf
Zn 65.41 Zn.upf
Ag 107.87 Ag.upf
ATOMIC_POSITIONS crystal
Th 0.000 0.000 0.250
Th 0.000 0.000 0.750
Zn 0.000 0.000 0.500
Zn 0.000 0.000 0.000
Zn 0.667 0.333 0.628
Zn 0.333 0.667 0.128
Zn 0.667 0.333 0.872
Zn 0.333 0.667 0.372
Ag 0.667 0.333 0.416
Ag 0.333 0.667 0.584
Ag 0.333 0.667 0.916
Ag 0.667 0.333 0.084
CELL_PARAMETERS angstrom
4.533 0.000 0.000
-2.266 3.925 0.000
0.000 0.000 13.130